No. 1
Below is Ti3MnN after structural relaxation, with properties calculated at the PBEsol level.

Cell and atoms, written as extended XYZ:
```
5
Lattice="4.057 0.000 0.000 0.000 4.057 0.000 0.000 0.000 4.057" Properties=species:S:1:pos:R:3 pbc="T T T"
N 0.000 0.000 0.000
Mn 2.028 2.028 2.028
Ti 0.000 2.028 0.000
Ti 0.000 0.000 2.028
Ti 2.028 0.000 0.000
```

Calculated values
Uncorrected energy = -9.436 eV/atom
Volume = 66.8 Å³ per cell
Total magnetic moment = 0.457 μB per atom
DOS(E_F) = 3.973 states/eV/cell

No. 2
Below is MnTl3N after structural relaxation, with properties calculated at the PBEsol level.

Cell and atoms, written as extended XYZ:
```
5
Lattice="5.081 0.000 0.000 0.000 5.081 0.000 0.000 0.000 5.081" Properties=species:S:1:pos:R:3 pbc="T T T"
Tl 0.000 2.540 0.000
Tl 0.000 0.000 2.540
Tl 2.540 0.000 0.000
Mn 0.000 0.000 0.000
N 2.540 2.540 2.540
```

Calculated values
Uncorrected energy = -3.964 eV/atom
Volume = 131.2 Å³ per cell
Total magnetic moment = 0.911 μB per atom
DOS(E_F) = 3.023 states/eV/cell

Q: The lowest volume belongs to which entry?
A: Ti3MnN

Q: Which value of volume does entry 1 give?
A: 66.8 Å³ per cell